ScZnRu2: optimized geometry, PBE.

Values from the calculation:
The total DFT energy (no corrections) is -6.6941 eV/atom.

Cell: 3.129 4.681 4.188 Å, 90.00 90.00 90.00°
Atoms (fractional coordinates):
Zn 0.000 0.500 0.500
Sc 0.500 0.000 0.500
Ru 0.500 0.500 0.000
Ru 0.000 0.000 0.000